Computed, not measured: Ba3NiBr after structural relaxation at the GGA-PBE level of DFT.

Properties
Total DFT energy (no corrections) ... -2.999 eV/atom
Distance to the lowest polymorph of the same formula ... 248 meV per atom
Formation energy (no corrections) ... -0.354 eV per atom

Geometry as POSCAR:
```
Ba3NiBr
1.0
-3.4570 -2.3812 -4.4273
2.3257 -5.5211 1.1535
-4.4567 -1.0341 4.0361
Ba Br Ni
3 1 1
direct
0.5000 0.0000 0.0000
0.0000 0.0000 0.5000
0.0000 0.5000 0.0000
0.5000 0.5000 0.5000
0.0000 0.0000 0.0000
```